(1)
DyEr14Mg | PBE-GGA | relaxed

Cell and atoms, written as POSCAR:
```
DyEr14Mg
1.0
6.908 0.983 0.000
-0.983 6.908 0.000
0.000 0.000 9.895
Er Dy Mg
14 1 1
direct
0.625 0.875 0.500 Er
0.376 0.624 0.750 Er
0.625 0.875 0.000 Er
0.376 0.624 0.250 Er
0.125 0.875 0.000 Er
0.874 0.624 0.750 Er
0.376 0.126 0.750 Er
0.125 0.375 0.000 Er
0.625 0.375 0.000 Er
0.874 0.624 0.250 Er
0.376 0.126 0.250 Er
0.874 0.126 0.250 Er
0.125 0.375 0.500 Er
0.874 0.126 0.750 Er
0.625 0.375 0.500 Dy
0.125 0.875 0.500 Mg
```

energy of formation from the pure elements	0.026	eV/atom
calculated volume	481.8	Å³ per cell

***

(2)
Dy4Er2Mg | PBE-GGA | relaxed

Cell and atoms, written as POSCAR:
```
Dy4Er2Mg
1.0
3.591 0.000 0.000
0.000 5.311 -2.509
0.000 0.744 11.306
Er Dy Mg
2 4 1
direct
0.500 0.000 0.500 Er
0.000 0.500 0.500 Er
0.000 0.646 0.202 Dy
0.500 0.176 0.250 Dy
0.000 0.354 0.798 Dy
0.500 0.824 0.750 Dy
0.000 0.000 0.000 Mg
```

relative energy among the computed polymorphs	32	meV per atom
energy of formation from the pure elements	0.138	eV/atom
calculated volume	222.3	Å³ per cell

***

(3)
Dy4ErMg7 | PBE-GGA | relaxed

Cell and atoms, written as POSCAR:
```
Dy4ErMg7
1.0
5.636 0.000 0.000
2.818 10.422 -0.654
2.818 -0.062 5.723
Mg Dy Er
7 4 1
direct
0.930 0.318 0.821 Mg
0.780 0.923 0.518 Mg
0.631 0.495 0.243 Mg
0.369 0.505 0.757 Mg
0.220 0.077 0.482 Mg
0.070 0.682 0.179 Mg
0.500 0.000 0.000 Mg
0.384 0.779 0.454 Dy
0.758 0.674 0.809 Dy
0.242 0.326 0.191 Dy
0.616 0.221 0.546 Dy
0.000 0.000 0.000 Er
```

relative energy among the computed polymorphs	179	meV per atom
energy of formation from the pure elements	0.157	eV/atom
calculated volume	335.9	Å³ per cell

***

(4)
Dy4Er5Mg2 | PBE-GGA | relaxed

Cell and atoms, written as POSCAR:
```
Dy4Er5Mg2
1.0
-1.445 -1.691 -2.618
9.332 1.597 -6.180
-4.980 -8.157 10.268
Dy Er Mg
4 5 2
direct
0.977 0.229 0.954 Dy
0.642 0.471 0.283 Dy
0.358 0.529 0.717 Dy
0.023 0.771 0.046 Dy
0.826 0.726 0.651 Er
0.213 0.047 0.427 Er
0.787 0.953 0.573 Er
0.174 0.274 0.349 Er
0.500 0.000 0.000 Er
0.590 0.648 0.180 Mg
0.410 0.352 0.820 Mg
```

relative energy among the computed polymorphs	0	meV per atom
energy of formation from the pure elements	0.134	eV/atom
calculated volume	337.6	Å³ per cell

***

(5)
Dy12Er7Mg | PBE-GGA | relaxed

Cell and atoms, written as POSCAR:
```
Dy12Er7Mg
1.0
-6.643 7.898 -0.153
-4.727 -8.400 3.692
8.024 2.369 6.045
Er Dy Mg
7 12 1
direct
0.500 0.000 0.500 Er
0.000 0.500 0.500 Er
0.500 0.000 0.000 Er
0.500 0.500 0.500 Er
0.000 0.500 0.000 Er
0.000 0.000 0.500 Er
0.500 0.500 0.000 Er
0.095 0.356 0.739 Dy
0.261 0.617 0.356 Dy
0.905 0.644 0.261 Dy
0.739 0.383 0.644 Dy
0.356 0.739 0.095 Dy
0.617 0.356 0.261 Dy
0.644 0.261 0.905 Dy
0.383 0.644 0.739 Dy
0.356 0.261 0.617 Dy
0.644 0.739 0.383 Dy
0.261 0.905 0.644 Dy
0.739 0.095 0.356 Dy
0.000 0.000 0.000 Mg
```

relative energy among the computed polymorphs	614	meV per atom
energy of formation from the pure elements	0.831	eV/atom
calculated volume	846.4	Å³ per cell

***

(6)
DyEr3Mg7 | PBE-GGA | relaxed

Cell and atoms, written as POSCAR:
```
DyEr3Mg7
1.0
-1.686 -2.484 -1.336
-0.264 -3.437 10.764
-13.942 8.235 2.288
Mg Er Dy
14 6 2
direct
0.739 0.478 0.576 Mg
0.494 0.988 0.416 Mg
0.624 0.249 0.843 Mg
0.376 0.751 0.157 Mg
0.618 0.236 0.250 Mg
0.506 0.012 0.916 Mg
0.382 0.764 0.750 Mg
0.261 0.522 0.424 Mg
0.261 0.522 0.076 Mg
0.506 0.012 0.584 Mg
0.624 0.249 0.657 Mg
0.376 0.751 0.343 Mg
0.739 0.478 0.924 Mg
0.494 0.988 0.084 Mg
0.764 0.529 0.250 Er
0.882 0.765 0.531 Er
0.118 0.235 0.031 Er
0.882 0.765 0.969 Er
0.236 0.471 0.750 Er
0.118 0.235 0.469 Er
0.013 0.026 0.750 Dy
0.987 0.974 0.250 Dy
```

relative energy among the computed polymorphs	0	meV per atom
energy of formation from the pure elements	0.103	eV/atom
calculated volume	600.8	Å³ per cell

***

(7)
Dy12Er2Mg | PBE-GGA | relaxed

Cell and atoms, written as POSCAR:
```
Dy12Er2Mg
1.0
-5.586 2.526 -2.511
2.820 -4.911 -3.437
-14.278 -17.267 9.078
Dy Er Mg
24 4 2
direct
0.628 0.562 0.195 Dy
0.833 0.855 0.557 Dy
0.769 0.269 0.108 Dy
0.062 0.128 0.195 Dy
0.438 0.372 0.805 Dy
0.651 0.151 0.429 Dy
0.895 0.847 0.066 Dy
0.347 0.395 0.066 Dy
0.038 0.019 0.674 Dy
0.872 0.938 0.805 Dy
0.731 0.231 0.892 Dy
0.849 0.349 0.571 Dy
0.153 0.105 0.934 Dy
0.462 0.481 0.326 Dy
0.323 0.823 0.580 Dy
0.250 0.750 0.152 Dy
0.355 0.333 0.557 Dy
0.667 0.645 0.443 Dy
0.177 0.677 0.420 Dy
0.250 0.750 0.848 Dy
0.145 0.167 0.443 Dy
0.519 0.538 0.674 Dy
0.981 0.962 0.326 Dy
0.605 0.653 0.934 Dy
0.511 0.011 0.267 Er
0.515 0.015 0.711 Er
0.985 0.485 0.289 Er
0.989 0.489 0.733 Er
0.457 0.957 0.017 Mg
0.043 0.543 0.983 Mg
```

energy of formation from the pure elements	0.105	eV/atom
calculated volume	938.1	Å³ per cell

***

(8)
Dy6Er4Mg | PBE-GGA | relaxed

Cell and atoms, written as POSCAR:
```
Dy6Er4Mg
1.0
7.344 -2.985 -5.470
-5.106 7.921 1.988
-1.924 2.985 8.953
Dy Er Mg
6 4 1
direct
0.351 0.539 0.539 Dy
0.500 0.000 0.500 Dy
0.000 0.811 0.461 Dy
0.649 0.189 0.189 Dy
0.500 0.500 0.000 Dy
0.000 0.461 0.811 Dy
0.635 0.986 0.986 Er
0.365 0.351 0.351 Er
0.000 0.649 0.014 Er
0.000 0.014 0.649 Er
0.000 0.000 0.000 Mg
```

energy of formation from the pure elements	0.281	eV/atom
calculated volume	352.1	Å³ per cell